Record 1
PBE-GGA RbTl2Sb2, relaxed; DOS at the Fermi energy = 1.934 states/eV per cell; formation energy from raw total energies = -112 meV per atom; E_tot = -2.901 eV per atom
1.0
4.7784 0.0000 0.0000
0.0000 4.7784 0.0000
2.3892 2.3892 8.2479
Sb Rb Tl
2 1 2
direct
0.2500 0.7500 0.5000 Sb
0.7500 0.2500 0.5000 Sb
0.0000 0.0000 0.0000 Rb
0.3802 0.3802 0.2396 Tl
0.6198 0.6198 0.7604 Tl

=====

Record 2
PBE-GGA SbIrN, relaxed; DOS at the Fermi energy = 1.767 states/eV per cell; formation energy from raw total energies = 691 meV per atom; E_tot = -6.412 eV per atom
1.0
-2.4143 -1.0805 -1.6665
-1.6054 -2.4868 1.0057
-10.7062 6.0611 2.7812
Ir N Sb
2 2 2
direct
0.1799 0.2942 0.6225 Ir
0.5325 0.0234 0.8108 Ir
0.7569 0.7779 0.0764 N
0.9558 0.5395 0.3568 N
0.5732 0.4150 0.9865 Sb
0.1394 0.9025 0.4467 Sb

=====

Record 3
PBE-GGA HfMnSb2, relaxed; DOS at the Fermi energy = 8.245 states/eV per cell; formation energy from raw total energies = 271 meV per atom; E_tot = -6.571 eV per atom
1.0
-0.1283 -4.2947 0.5061
3.6666 -0.3765 -2.2652
6.9899 -1.5119 7.4340
Mn Sb Hf
2 4 2
direct
0.2500 0.7500 0.5000 Mn
0.5000 0.5000 0.0000 Mn
0.6116 0.1250 0.2500 Sb
0.8750 0.8616 0.7500 Sb
0.1384 0.6250 0.2500 Sb
0.3750 0.3884 0.7500 Sb
0.7500 0.2500 0.5000 Hf
0.0000 0.0000 0.0000 Hf

=====

Record 4
PBE-GGA SmCd9Cu2, relaxed; DOS at the Fermi energy = 5.347 states/eV per cell; ΔH_f (0 K) = -0.099 eV/atom; E_tot = -1.861 eV per atom
1.0
6.7179 0.0000 3.0928
3.3589 8.2668 1.5464
-0.0981 0.0000 9.0556
Cd Cu Sm
18 4 2
direct
0.0013 0.6823 0.9240 Cd
0.0747 0.9240 0.3177 Cd
0.1424 0.4240 0.1823 Cd
0.7500 0.5000 0.5000 Cd
0.4336 0.8177 0.4240 Cd
0.3164 0.0760 0.6823 Cd
0.1424 0.1823 0.4240 Cd
0.0000 0.0000 0.0000 Cd
0.3164 0.6823 0.0760 Cd
0.4336 0.4240 0.8177 Cd
0.6076 0.0760 0.3177 Cd
0.0747 0.3177 0.9240 Cd
0.0013 0.9240 0.6823 Cd
0.6076 0.3177 0.0760 Cd
0.6753 0.5760 0.1823 Cd
0.6753 0.1823 0.5760 Cd
0.7487 0.8177 0.5760 Cd
0.7487 0.5760 0.8177 Cd
0.8750 0.7500 0.2500 Cu
0.8750 0.2500 0.7500 Cu
0.8750 0.2500 0.2500 Cu
0.3750 0.7500 0.7500 Cu
0.5000 0.0000 0.0000 Sm
0.2500 0.5000 0.5000 Sm

=====

Record 5
PBE-GGA Sm5PS4, relaxed; DOS at the Fermi energy = 4.355 states/eV per cell; formation energy from raw total energies = -1959 meV per atom; E_tot = -6.511 eV per atom
1.0
-3.5683 -1.0775 -1.5289
1.8672 -1.8583 -3.0482
1.2399 -10.5905 9.8781
Sm S P
5 4 1
direct
0.7012 0.7012 0.4025 Sm
0.5000 0.5000 0.0000 Sm
0.0988 0.0988 0.1975 Sm
0.2988 0.2988 0.5975 Sm
0.9012 0.9012 0.8025 Sm
0.6010 0.6010 0.2020 S
0.1994 0.1994 0.3988 S
0.8006 0.8006 0.6012 S
0.3990 0.3990 0.7980 S
0.0000 0.0000 0.0000 P

=====

Record 6
PBE-GGA Rb2AlTeF6, relaxed; DOS at the Fermi energy = 8.503 states/eV per cell; formation energy from raw total energies = -2610 meV per atom; E_tot = -4.614 eV per atom
1.0
-4.5656 -4.4605 -2.8047
4.1090 -0.6910 -5.5898
1.7038 -5.6884 -2.3922
F Rb Te Al
6 2 1 1
direct
0.3176 0.3176 0.0000 F
0.6824 0.3176 0.0000 F
0.7357 0.7357 0.5286 F
0.2643 0.2643 0.4714 F
0.6824 0.6824 0.0000 F
0.3176 0.6824 0.0000 F
0.7500 0.2500 0.5000 Rb
0.2500 0.7500 0.5000 Rb
0.0000 0.0000 0.0000 Te
0.5000 0.5000 0.0000 Al

=====

Record 7
PBE-GGA AcCo3B2, relaxed; DOS at the Fermi energy = 3.910 states/eV per cell; ΔH_f (0 K) = -0.204 eV/atom; E_tot = -6.668 eV per atom
1.0
-0.8090 0.6356 2.9408
-4.3167 2.3026 -1.6852
-0.0217 -5.0591 1.0875
B Co Ac
2 3 1
direct
0.0000 0.6679 0.3334 B
0.0000 0.3346 0.6667 B
0.5000 0.0012 0.5000 Co
0.5000 0.5013 0.5000 Co
0.5000 0.5013 0.0000 Co
0.0000 0.0012 0.0000 Ac

=====

Record 8
PBE-GGA RbInAgCl6, relaxed; DOS at the Fermi energy = 0.991 states/eV per cell; formation energy from raw total energies = -1053 meV per atom; E_tot = -3.013 eV per atom
1.0
-5.3955 3.9276 -0.0214
-4.3151 0.5232 -5.6598
-3.6938 -5.5389 2.9677
Cl Rb In Ag
6 1 1 1
direct
0.9975 0.3833 0.2950 Cl
0.9977 0.6191 0.7050 Cl
0.3607 0.0131 0.6791 Cl
0.3605 0.6263 0.3209 Cl
0.6171 0.3569 0.7284 Cl
0.6168 0.0262 0.2714 Cl
0.0289 0.9855 0.0000 Rb
0.3541 0.3229 0.5000 In
0.6665 0.6667 0.5000 Ag

=====

Record 9
PBE-GGA BaNi4Hg, relaxed; DOS at the Fermi energy = 9.609 states/eV per cell; ΔH_f (0 K) = 0.178 eV/atom; E_tot = -4.047 eV per atom
1.0
2.0703 1.7781 4.4627
-1.6828 -1.8636 4.5890
3.0988 -3.0944 2.8612
Ni Ba Hg
4 1 1
direct
0.3730 0.3730 0.3730 Ni
0.3730 0.8809 0.3730 Ni
0.8809 0.3730 0.3730 Ni
0.3730 0.3730 0.8809 Ni
0.7500 0.7500 0.7500 Ba
0.0000 0.0000 0.0000 Hg

=====

Record 10
PBE-GGA Pr2Sm2ZnGa4, relaxed; DOS at the Fermi energy = 8.364 states/eV per cell; ΔH_f (0 K) = -0.330 eV/atom; E_tot = -3.928 eV per atom
1.0
6.7064 0.1540 0.2223
-3.0841 5.9571 -0.2223
-3.0841 -2.3011 5.4993
Ga Pr Sm Zn
4 2 2 1
direct
0.0000 0.2416 0.7584 Ga
0.5168 0.7584 0.7584 Ga
0.0000 0.7584 0.2416 Ga
0.4832 0.2416 0.2416 Ga
0.5000 0.2500 0.7500 Pr
0.5000 0.7500 0.2500 Pr
0.0000 0.3144 0.3144 Sm
0.0000 0.6856 0.6856 Sm
0.0000 0.0000 0.0000 Zn

=====

Record 11
PBE-GGA Rb2BiSbCl6, relaxed; DOS at the Fermi energy = 4.506 states/eV per cell; formation energy from raw total energies = -1125 meV per atom; E_tot = -3.226 eV per atom
1.0
7.9136 0.0000 0.0000
0.0000 7.9136 0.0000
3.9568 3.9568 5.6403
Cl Bi Sb Rb
6 1 1 2
direct
0.2520 0.2520 0.4960 Cl
0.7475 0.2525 0.0000 Cl
0.7480 0.7480 0.5040 Cl
0.7475 0.7475 0.0000 Cl
0.2525 0.7475 0.0000 Cl
0.2525 0.2525 0.0000 Cl
0.0000 0.0000 0.0000 Bi
0.5000 0.5000 0.0000 Sb
0.7500 0.2500 0.5000 Rb
0.2500 0.7500 0.5000 Rb

=====

Record 12
PBE-GGA TiCoTc, relaxed; DOS at the Fermi energy = 2.703 states/eV per cell; ΔH_f (0 K) = -0.141 eV/atom; E_tot = -8.597 eV per atom
1.0
3.0620 0.0000 0.0000
0.0000 3.0620 0.0000
-1.5310 -1.5310 4.4553
Co Tc Ti
1 1 1
direct
0.2822 0.2822 0.5643 Co
0.6186 0.6186 0.2373 Tc
0.9492 0.9492 0.8984 Ti

=====

Record 13
PBE-GGA Mn2CuHOs, relaxed; DOS at the Fermi energy = 5.364 states/eV per cell; E_tot = -7.172 eV per atom
1.0
-2.4707 -2.2015 -1.6980
2.5902 -0.9972 -2.4760
1.0119 -2.8318 2.1991
Mn Os H Cu
2 1 1 1
direct
0.5000 0.0000 0.0000 Mn
0.0000 0.5000 0.0000 Mn
0.5000 0.5000 0.5000 Os
0.0000 0.0000 0.0000 H
0.0000 0.0000 0.5000 Cu

=====

Record 14
PBE-GGA UBe4Cr, relaxed; DOS at the Fermi energy = 5.529 states/eV per cell; ΔH_f (0 K) = 0.205 eV/atom; E_tot = -5.764 eV per atom
1.0
4.6571 0.0000 0.0000
2.3285 4.0331 0.0000
2.3285 1.3444 3.8025
Cr Be U
1 4 1
direct
0.0000 0.0000 0.0000 Cr
0.6268 0.6268 0.1195 Be
0.1195 0.6268 0.6268 Be
0.6268 0.6268 0.6268 Be
0.6268 0.1195 0.6268 Be
0.2500 0.2500 0.2500 U

=====

Record 15
PBE-GGA Mg2Zn3Pd, relaxed; DOS at the Fermi energy = 4.335 states/eV per cell; ΔH_f (0 K) = -0.305 eV/atom; E_tot = -2.339 eV per atom
1.0
5.0912 1.6308 0.0000
0.6102 5.3111 0.0000
-2.8507 -3.4709 7.6205
Mg Pd Zn
4 2 6
direct
0.7473 0.2527 0.0000 Mg
0.2500 0.7500 0.5000 Mg
0.2527 0.7473 0.0000 Mg
0.7500 0.2500 0.5000 Mg
0.3351 0.3351 0.6703 Pd
0.6649 0.6649 0.3297 Pd
0.8353 0.8353 0.1673 Zn
0.1662 0.1662 0.3325 Zn
0.3321 0.3321 0.1673 Zn
0.8338 0.8338 0.6675 Zn
0.1647 0.1647 0.8327 Zn
0.6679 0.6679 0.8327 Zn

=====

Record 16
PBE-GGA NdAlZnCd, relaxed; DOS at the Fermi energy = 0.994 states/eV per cell; ΔH_f (0 K) = -0.230 eV/atom; E_tot = -2.905 eV per atom
1.0
4.9779 0.0000 0.0000
2.4889 4.3110 0.0000
2.4889 1.4370 4.0644
Zn Al Cd Nd
1 1 1 1
direct
0.0000 0.0000 0.0000 Zn
0.5000 0.5000 0.5000 Al
0.7500 0.7500 0.7500 Cd
0.2500 0.2500 0.2500 Nd

=====

Record 17
PBE-GGA K3AlP2, relaxed; ΔH_f (0 K) = -0.489 eV/atom; E_tot = -3.465 eV per atom
1.0
8.9423 0.0023 -0.0030
3.6961 11.3749 -0.0162
4.3860 3.3493 14.2012
P K Al
16 24 8
direct
0.1625 0.6333 0.0699 P
0.2163 0.2184 0.6413 P
0.4029 0.3348 0.3952 P
0.5225 0.7010 0.1552 P
0.5971 0.6652 0.6048 P
0.0006 0.1747 0.1806 P
0.6683 0.0162 0.5379 P
0.8375 0.3667 0.9301 P
0.3583 0.8752 0.9116 P
0.9039 0.4129 0.4597 P
0.6417 0.1248 0.0884 P
0.0961 0.5871 0.5403 P
0.4775 0.2990 0.8448 P
0.3317 0.9838 0.4622 P
0.7837 0.7816 0.3587 P
0.9994 0.8253 0.8194 P
0.6835 0.9129 0.9759 K
0.5154 0.4252 0.1593 K
0.3165 0.0871 0.0241 K
0.0298 0.0971 0.8494 K
0.3450 0.9164 0.6940 K
0.2276 0.7434 0.6198 K
0.8115 0.7664 0.6804 K
0.4947 0.6252 0.4168 K
0.8265 0.6188 0.9761 K
0.8448 0.5803 0.2419 K
0.7724 0.2566 0.3802 K
0.4710 0.9138 0.2544 K
0.8139 0.3997 0.6920 K
0.0163 0.8929 0.4157 K
0.1552 0.4197 0.7581 K
0.5053 0.3748 0.5832 K
0.4846 0.5748 0.8407 K
0.1735 0.3812 0.0239 K
0.5290 0.0862 0.7456 K
0.6550 0.0836 0.3060 K
0.9702 0.9029 0.1506 K
0.1861 0.6003 0.3080 K
0.9837 0.1071 0.5843 K
0.1885 0.2336 0.3196 K
0.1530 0.3872 0.5096 Al
0.6366 0.2669 0.9454 Al
0.1518 0.7797 0.9270 Al
0.8470 0.6128 0.4904 Al
0.5951 0.8594 0.4916 Al
0.8482 0.2203 0.0730 Al
0.4049 0.1406 0.5084 Al
0.3634 0.7331 0.0546 Al

=====

Record 18
PBE-GGA CaMgZn2Au5, relaxed; DOS at the Fermi energy = 3.184 states/eV per cell; ΔH_f (0 K) = -0.319 eV/atom; E_tot = -2.823 eV per atom
1.0
-3.2128 -3.0393 1.8003
2.7514 -0.6267 3.8520
-3.6918 6.0474 3.6209
Au Mg Ca Zn
5 1 1 2
direct
0.5000 0.5000 0.5000 Au
0.0000 0.5000 0.2549 Au
0.5000 0.0000 0.2549 Au
0.0000 0.5000 0.7451 Au
0.5000 0.0000 0.7451 Au
0.0000 0.0000 0.0000 Mg
0.0000 0.0000 0.5000 Ca
0.5000 0.5000 0.1506 Zn
0.5000 0.5000 0.8494 Zn

=====

Record 19
PBE-GGA MgCO2F, relaxed; DOS at the Fermi energy = 0.952 states/eV per cell; formation energy from raw total energies = -361 meV per atom; E_tot = -4.882 eV per atom
1.0
3.4497 0.0000 0.0000
0.0000 3.4497 0.0000
0.0000 0.0000 3.6276
O C Mg F
2 1 1 1
direct
0.0000 0.5000 0.0000 O
0.5000 0.0000 0.0000 O
0.0000 0.0000 0.0000 C
0.5000 0.5000 0.5000 Mg
0.0000 0.0000 0.5000 F

=====

Record 20
PBE-GGA RbTl2ZnIn, relaxed; DOS at the Fermi energy = 3.685 states/eV per cell; ΔH_f (0 K) = 0.102 eV/atom; E_tot = -1.841 eV per atom
1.0
-5.7356 -0.4214 -0.2476
-0.2028 -0.6014 5.7213
-0.4070 5.2247 0.5348
Tl In Zn Rb
2 1 1 1
direct
0.5000 0.0000 0.0000 Tl
0.0000 0.5000 0.0000 Tl
0.0000 0.0000 0.5000 In
0.0000 0.0000 0.0000 Zn
0.5000 0.5000 0.5000 Rb

=====

Record 21
PBE-GGA SrZnRe2, relaxed; DOS at the Fermi energy = 3.800 states/eV per cell; ΔH_f (0 K) = 1.057 eV/atom; E_tot = -5.906 eV per atom
1.0
5.6684 -0.0114 0.0000
2.9707 4.8276 0.0000
-4.3196 -2.4081 2.7701
Sr Re Zn
1 2 1
direct
0.2500 0.7500 0.5000 Sr
0.0000 0.0000 0.0000 Re
0.5000 0.5000 0.0000 Re
0.7500 0.2500 0.5000 Zn

=====

Record 22
PBE-GGA Li2VCrNi, relaxed; DOS at the Fermi energy = 5.977 states/eV per cell; ΔH_f (0 K) = 1.025 eV/atom; E_tot = -4.645 eV per atom
1.0
-2.2116 0.8172 3.1787
-1.4257 -4.2188 0.0927
3.0277 -0.9714 2.3564
Cr Li V Ni
1 2 1 1
direct
0.0000 0.5000 0.0000 Cr
0.0000 0.0000 0.5000 Li
0.5000 0.0000 0.0000 Li
0.5000 0.5000 0.5000 V
0.0000 0.0000 0.0000 Ni

=====

Record 23
PBE-GGA HgSbAs2Pb, relaxed; DOS at the Fermi energy = 4.222 states/eV per cell; formation energy from raw total energies = 814 meV per atom; E_tot = -2.672 eV per atom
1.0
5.1865 0.0000 0.0000
0.0000 5.7194 0.0000
0.0000 0.0000 5.1865
Pb Hg Sb As
1 1 1 2
direct
0.0000 0.5000 0.0000 Pb
0.0000 0.0000 0.0000 Hg
0.5000 0.5000 0.5000 Sb
0.0000 0.0000 0.5000 As
0.5000 0.0000 0.0000 As